(1)
The following is a DFT calculation (PBE) of Li3HgN after structural relaxation.

**Space-group type**: C2/c (15)
**Relative energy among the computed polymorphs**: 74 meV/atom
**Crystal system**: monoclinic

Cell and atoms, written as POSCAR:
```
Li3HgN
1.0
6.2471 -0.8577 -1.0215
-1.3425 7.0486 1.0721
-1.2904 0.2061 7.1363
Li Hg N
12 4 4
Direct
0.4728 0.1524 0.9152
0.0272 0.0848 0.8476
0.5272 0.8476 0.0848
0.9728 0.9152 0.1524
0.0626 0.7106 0.9146
0.4374 0.0854 0.2894
0.9374 0.2894 0.0854
0.5626 0.9146 0.7106
0.3514 0.5558 0.2968
0.1486 0.7032 0.4442
0.6486 0.4442 0.7032
0.8514 0.2968 0.5558
0.6995 0.4947 0.1872
0.8005 0.8128 0.5053
0.3005 0.5053 0.8128
0.1995 0.1872 0.4947
0.2500 0.9520 0.0480
0.7500 0.0480 0.9520
0.2500 0.8038 0.1962
0.7500 0.1962 0.8038
```

(2)
The following is a DFT calculation (PBE) of LiHg3N after structural relaxation.

**Space-group type**: Pm-3m (221)
**Relative energy among the computed polymorphs**: 0 meV/atom
**Crystal system**: cubic

Cell and atoms, written as POSCAR:
```
LiHg3N
1.0
4.8485 0.0000 0.0000
0.0000 4.8485 0.0000
0.0000 0.0000 4.8485
Li Hg N
1 3 1
Direct
0.5000 0.5000 0.5000
0.0000 0.5000 0.0000
0.0000 0.0000 0.5000
0.5000 0.0000 0.0000
0.0000 0.0000 0.0000
```

(3)
The following is a DFT calculation (PBE) of Li6Hg2N after structural relaxation.

**Space-group type**: Amm2 (38)
**Relative energy among the computed polymorphs**: 22 meV/atom
**Crystal system**: orthorhombic

Cell and atoms, written as POSCAR:
```
Li6Hg2N
1.0
-0.9729 2.8029 1.6419
-4.2091 1.2823 -4.6833
-2.1701 -3.8593 5.3023
Li Hg N
6 2 1
Direct
0.5000 0.6569 0.0000
0.5000 0.3100 0.3011
0.5000 0.0090 0.6989
0.0000 0.2200 0.0000
0.0000 0.8039 0.8133
0.0000 0.9906 0.1867
0.0000 0.3235 0.6384
0.0000 0.6851 0.3616
0.5000 0.0011 0.0000
```

(4)
The following is a DFT calculation (PBE) of Li4HgN after structural relaxation.

**Space-group type**: P-1 (2)
**Crystal system**: triclinic

Cell and atoms, written as POSCAR:
```
Li4HgN
1.0
5.3057 0.0006 -0.0036
0.0007 5.3660 -0.1511
-2.6578 -2.4204 6.6202
Li Hg N
8 2 2
Direct
0.5541 0.1299 0.7849
0.7686 0.3703 0.2150
0.4459 0.8701 0.2151
0.2314 0.6297 0.7850
0.7990 0.7973 0.5541
0.2450 0.7026 0.4461
0.2010 0.2027 0.4459
0.7550 0.2974 0.5539
0.8286 0.7497 0.9997
0.1714 0.2503 0.0003
0.5000 0.0000 0.5000
0.0000 0.5000 0.5000
```

| no. | raw formation energy (eV/atom) |
| --- | --- |
| 1 | -0.2422 |
| 2 | 0.7117 |
| 3 | -0.2721 |
| 4 | -0.3356 |